DFT (GGA-PBEsol) results for a relaxed structure of Y3NiI.

Raw formation energy in kJ/mol of atoms: -23.97
Space-group type: No. 221

abc: 5.227 5.227 5.227
angles: 90.00 90.00 90.00
Fractional coordinates of all 5 atoms:
1 I 0.500 0.500 0.500
2 Y 0.000 0.500 0.000
3 Y 0.000 0.000 0.500
4 Y 0.500 0.000 0.000
5 Ni 0.000 0.000 0.000

***

DFT (GGA-PBEsol) results for a relaxed structure of YNiI3.

Raw formation energy in kJ/mol of atoms: -23.68
Space-group type: No. 221

abc: 5.155 5.155 5.155
angles: 90.00 90.00 90.00
Fractional coordinates of all 5 atoms:
1 I 0.000 0.500 0.000
2 I 0.000 0.000 0.500
3 I 0.500 0.000 0.000
4 Y 0.500 0.500 0.500
5 Ni 0.000 0.000 0.000